No. 1
{"formula": "BeRe2Ru", "functional": "PBE-GGA", "state": "relaxed", "cell": [[-0.3780, -1.0173, 2.4981], [-1.0039, -3.3942, -1.5341], [4.9083, -1.5096, 0.1279]], "species": ["Ru", "Re", "Be", "Re"], "fractional_positions": [[0.5000, 0.5000, 0.2500], [0.0000, 0.0000, 0.9837], [0.5000, 0.5000, 0.7500], [0.0000, 0.0000, 0.5163]], "e_tot_ev_per_atom": -9.420, "dos_at_fermi_per_ev_cell": 3.1, "e_form_ev_per_atom": 0.0548, "crystal_system": "orthorhombic", "total_magnetization_mub_per_cell": 0.000}

---

No. 2
{"formula": "Nd3Pd2", "functional": "PBE-GGA", "state": "relaxed", "cell": [[8.0384, 0.0000, 0.0000], [0.0000, 8.0863, 0.0000], [0.0000, 0.0000, 8.0863]], "species": ["Pd", "Nd", "Pd", "Nd", "Nd", "Nd", "Pd", "Nd", "Nd", "Nd", "Nd", "Pd", "Nd", "Pd", "Nd", "Pd", "Pd", "Nd", "Nd", "Pd"], "fractional_positions": [[0.7498, 0.8737, 0.8737], [0.0000, 0.8324, 0.1676], [0.7502, 0.3737, 0.6263], [0.2500, 0.5000, 0.0000], [0.0000, 0.1676, 0.8324], [0.7500, 0.0000, 0.5000], [0.7502, 0.6263, 0.3737], [0.5000, 0.3324, 0.3324], [0.0000, 0.6677, 0.6677], [0.5000, 0.1677, 0.8323], [0.5000, 0.8323, 0.1677], [0.2498, 0.6263, 0.3737], [0.5000, 0.6676, 0.6676], [0.2502, 0.1263, 0.1263], [0.7500, 0.5000, 0.0000], [0.7498, 0.1263, 0.1263], [0.2498, 0.3737, 0.6263], [0.2500, 0.0000, 0.5000], [0.0000, 0.3323, 0.3323], [0.2502, 0.8737, 0.8737]], "e_tot_ev_per_atom": -5.566, "dos_at_fermi_per_ev_cell": 16.8, "e_form_ev_per_atom": -0.6279, "crystal_system": "tetragonal", "total_magnetization_mub_per_cell": 0.000}

---

No. 3
{"formula": "CrSiSe", "functional": "PBE-GGA", "state": "relaxed", "cell": [[3.1114, 0.0000, 0.0000], [-1.5557, 2.6945, 0.0000], [0.0000, 0.0000, 5.4316]], "species": ["Cr", "Se", "Si"], "fractional_positions": [[0.0000, 0.0000, 0.0007], [0.3333, 0.6667, 0.2968], [0.6667, 0.3333, 0.7024]], "e_tot_ev_per_atom": -6.143, "dos_at_fermi_per_ev_cell": 1.5, "crystal_system": "trigonal", "raw_formation_energy_mev_per_atom": 34, "total_magnetization_mub_per_cell": 0.000}